No. 1
{"formula": "BaBi2Te", "functional": "PBEsol", "state": "optimized geometry", "lattice_angstrom": [[-1.246, 0.492, -6.482], [5.443, -2.214, -4.594], [-3.133, -5.949, -3.229]], "species": ["Te", "Te", "Ba", "Ba", "Bi", "Bi", "Bi", "Bi"], "fractional_positions": [[0.500, 0.000, 0.000], [0.250, 0.500, 0.500], [0.000, 0.000, 0.000], [0.750, 0.500, 0.500], [0.163, 0.962, 0.462], [0.587, 0.038, 0.538], [0.875, 0.538, 0.962], [0.375, 0.462, 0.038]], "dft_energy_ev_per_atom": -3.94}


No. 2
{"formula": "BaTi2Bi2", "functional": "PBEsol", "state": "optimized geometry", "lattice_angstrom": [[4.346, 0.000, 0.000], [0.000, 4.346, 0.000], [-2.173, -2.173, 7.352]], "species": ["Bi", "Bi", "Ba", "Ti", "Ti"], "fractional_positions": [[0.373, 0.373, 0.747], [0.627, 0.627, 0.253], [0.000, 0.000, 0.000], [0.250, 0.750, 0.500], [0.750, 0.250, 0.500]], "e_form_ev_per_atom": -0.375}


No. 3
{"formula": "BaTl2Bi2", "functional": "PBEsol", "state": "optimized geometry", "lattice_angstrom": [[4.926, 0.000, 0.000], [0.000, 4.926, 0.000], [-2.463, -2.463, 7.387]], "species": ["Tl", "Tl", "Bi", "Bi", "Ba"], "fractional_positions": [[0.250, 0.750, 0.500], [0.750, 0.250, 0.500], [0.603, 0.603, 0.207], [0.397, 0.397, 0.793], [0.000, 0.000, 0.000]], "e_form_ev_per_atom": -0.373}


No. 4
{"formula": "BaTlBi3", "functional": "PBEsol", "state": "optimized geometry", "lattice_angstrom": [[-2.201, -1.784, -5.551], [-4.043, -3.808, 2.827], [-4.201, 4.600, 0.188]], "species": ["Bi", "Bi", "Bi", "Tl", "Ba"], "fractional_positions": [[0.000, 0.500, 0.000], [0.500, 0.000, 0.000], [0.000, 0.000, 0.500], [0.500, 0.500, 0.500], [0.000, 0.000, 0.000]], "e_form_ev_per_atom": 0.689}


No. 5
{"formula": "BaBi2W", "functional": "PBEsol", "state": "optimized geometry", "lattice_angstrom": [[5.298, 0.000, 0.000], [2.649, 4.588, 0.000], [2.649, 1.529, 4.326]], "species": ["W", "Bi", "Bi", "Ba"], "fractional_positions": [[0.500, 0.500, 0.500], [0.250, 0.250, 0.250], [0.750, 0.750, 0.750], [0.000, 0.000, 0.000]], "e_form_ev_per_atom": 0.584}


No. 6
{"formula": "BaY2Bi2", "functional": "PBEsol", "state": "optimized geometry", "lattice_angstrom": [[5.838, 0.000, 0.000], [0.000, 5.838, 0.000], [-2.919, -2.919, 5.549]], "species": ["Bi", "Bi", "Y", "Y", "Ba"], "fractional_positions": [[0.250, 0.750, 0.500], [0.750, 0.250, 0.500], [0.668, 0.668, 0.336], [0.332, 0.332, 0.664], [0.000, 0.000, 0.000]], "e_form_ev_per_atom": -0.547}


No. 7
{"formula": "Ba2ZnBi", "functional": "PBEsol", "state": "optimized geometry", "lattice_angstrom": [[-2.498, -0.485, 5.292], [-0.525, -5.274, 2.527], [3.277, -1.352, 4.681]], "species": ["Ba", "Ba", "Zn", "Bi"], "fractional_positions": [[0.750, 0.750, 0.750], [0.250, 0.250, 0.250], [0.000, 0.000, 0.000], [0.500, 0.500, 0.500]], "e_form_ev_per_atom": -0.526}


No. 8
{"formula": "BaZn2Bi2", "functional": "PBEsol", "state": "optimized geometry", "lattice_angstrom": [[-2.983, 1.051, 3.228], [-3.358, -1.546, -2.599], [3.943, -6.110, 2.469]], "species": ["Bi", "Bi", "Ba", "Zn", "Zn"], "fractional_positions": [[0.628, 0.628, 0.257], [0.372, 0.372, 0.743], [0.000, 0.000, 0.000], [0.250, 0.750, 0.500], [0.750, 0.250, 0.500]], "e_form_ev_per_atom": -0.334}